{"formula": "Ni2BClO3", "functional": "PBE with a Hubbard U", "state": "relaxed", "total_energy_ev_per_atom": -5.28, "magnetic_moment_mub_per_cell": 8.0, "density_g_cm3": 4.74, "lattice_angstrom": [[-4.865, 3.185, 2.617], [-1.709, 0.229, 6.138], [0.237, 4.984, 3.970]], "species": ["Ni", "Ni", "Ni", "Ni", "B", "B", "Cl", "Cl", "O", "O", "O", "O", "O", "O"], "fractional_positions": [[0.000, 0.000, 0.000], [0.500, 0.000, 0.000], [0.000, 0.500, 0.000], [0.000, 0.000, 0.500], [0.420, 0.420, 0.420], [0.580, 0.580, 0.580], [0.735, 0.735, 0.735], [0.265, 0.265, 0.265], [0.278, 0.724, 0.724], [0.724, 0.278, 0.724], [0.724, 0.724, 0.278], [0.722, 0.276, 0.276], [0.276, 0.722, 0.276], [0.276, 0.276, 0.722]]}